# 1
Li2ZnGa5: relaxed, PBE.

Unit cell a=5.6757 b=11.3406 c=4.0760 alpha=90.00 beta=90.00 gamma=90.00
Atoms (fractional coordinates):
Li 0.2490 0.1264 0.0000
Li 0.2510 0.6264 0.0000
Li 0.7490 0.3736 0.0000
Li 0.7510 0.8736 0.0000
Zn 0.0000 0.5000 0.5000
Zn 0.5000 0.0000 0.5000
Ga 0.0000 0.0000 0.5000
Ga 0.9995 0.2532 0.5000
Ga 0.0005 0.7468 0.5000
Ga 0.2491 0.3778 0.0000
Ga 0.2509 0.8778 0.0000
Ga 0.4995 0.2468 0.5000
Ga 0.5000 0.5000 0.5000
Ga 0.5005 0.7532 0.5000
Ga 0.7491 0.1222 0.0000
Ga 0.7509 0.6222 0.0000

E_tot ... -2.714 eV per atom
V ... 16.40 Å³/atom

***

# 2
KAgF3: relaxed, PBE.

Unit cell a=4.0648 b=4.0648 c=13.2608 alpha=90.00 beta=90.00 gamma=120.00
Atoms (fractional coordinates):
K 0.0000 0.0000 0.0000
K 0.0000 0.0000 0.5000
Ag 0.3333 0.6667 0.2500
Ag 0.6667 0.3333 0.7500
F 0.0000 0.0000 0.2500
F 0.0000 0.0000 0.7500
F 0.3333 0.6667 0.0953
F 0.3333 0.6667 0.4047
F 0.6667 0.3333 0.5953
F 0.6667 0.3333 0.9047

V ... 18.97 Å³/atom
Raw formation energy ... -1.82 eV per atom

***

# 3
Ba2NbTc: relaxed, PBE.

Unit cell a=5.5819 b=5.5819 c=5.5819 alpha=60.00 beta=60.00 gamma=60.00
Atoms (fractional coordinates):
Ba 0.2500 0.2500 0.2500
Ba 0.7500 0.7500 0.7500
Nb 0.0000 0.0000 0.0000
Tc 0.5000 0.5000 0.5000

E_tot ... -4.587 eV per atom
V ... 30.75 Å³/atom

***

- Look up the V of the second one.
  18.97 Å³/atom